Entry 1:
## Cs2ZrCu2S4 (PBE)

Data for crystalline Cs2ZrCu2S4 at its relaxed geometry.

The raw formation energy comes out at -1.057 eV per atom. For the density of states at the Fermi level, the calculation gives 0.060 states/eV per atom. For the volume, the calculation gives 429.27 Å³ per cell.

It has space group C2/m (No. 12), with a = 14.227 Å, b = 3.897 Å, c = 8.103 Å, α = 90.00°, β = 107.15° and γ = 90.00°. The distinct sites, in fractional coordinates, are Cs at (0.140, 0.000, 0.066), Zr at (0.000, 0.000, 0.500), Cu at (0.176, 0.500, 0.486), S at (0.019, 0.500, 0.291) and S at (0.190, 0.000, 0.653).

Entry 2:
## FeSiTe2 (PBE)

Data for crystalline FeSiTe2 at its relaxed geometry.

The raw formation energy comes out at 0.655 eV per atom. For the density of states at the Fermi level, the calculation gives 1.415 states/eV per atom. For the volume, the calculation gives 186.20 Å³ per cell.

It has space group I-4m2 (No. 119), with a = 3.930 Å, b = 3.930 Å, c = 12.054 Å, α = 90.00°, β = 90.00° and γ = 90.00°. The distinct sites, in fractional coordinates, are Fe at (0.000, 0.000, 0.000), Si at (0.000, 0.500, 0.750), Te at (0.000, 0.000, 0.500) and Te at (0.000, 0.500, 0.250).

Entry 3:
## Nb2VIn2S6 (PBE)

Data for crystalline Nb2VIn2S6 at its relaxed geometry.

The raw formation energy comes out at -0.782 eV per atom. For the density of states at the Fermi level, the calculation gives 0.441 states/eV per atom. For the volume, the calculation gives 476.38 Å³ per cell.

It has space group C2/m (No. 12), with a = 5.901 Å, b = 10.424 Å, c = 7.973 Å, α = 90.00°, β = 103.77° and γ = 90.00°. The distinct sites, in fractional coordinates, are Nb at (0.000, 0.143, 0.000), V at (0.000, 0.500, 0.000), In at (0.000, 0.321, 0.500), S at (0.219, 0.333, 0.183) and S at (0.247, 0.500, 0.792).

Entry 4:
## Sr3Ca3Ac2 (PBE)

Data for crystalline Sr3Ca3Ac2 at its relaxed geometry.

For the formation energy, the calculation gives 0.4 eV per formula unit. For the density of states at the Fermi level, the calculation gives 1.538 states/eV per atom. For the volume, the calculation gives 750.38 Å³ per cell.

It has space group Immm (No. 71), with a = 5.643 Å, b = 5.686 Å, c = 23.385 Å, α = 90.00°, β = 90.00° and γ = 90.00°. The distinct sites, in fractional coordinates, are Sr at (0.000, 0.000, 0.000), Sr at (0.000, 0.500, 0.126), Ca at (0.000, 0.000, 0.500), Ca at (0.000, 0.500, 0.371) and Ac at (0.000, 0.000, 0.250).

Entry 5:
## HPdRuPb2 (PBE)

Data for crystalline HPdRuPb2 at its relaxed geometry.

As for the total energy: -18.857 eV for the cell shown. For the density of states at the Fermi level, the calculation gives 1.014 states/eV per atom. For the volume, the calculation gives 141.38 Å³ per cell.

It has space group P4/mmm (No. 123), with a = 5.301 Å, b = 5.301 Å, c = 5.031 Å, α = 90.00°, β = 90.00° and γ = 90.00°. The distinct sites, in fractional coordinates, are H at (0.000, 0.000, 0.000), Pd at (0.500, 0.500, 0.500), Ru at (0.500, 0.500, 0.000) and Pb at (0.000, 0.500, 0.500).

Entry 6:
## ReAs2Pt (PBE)

Data for crystalline ReAs2Pt at its relaxed geometry.

For the formation energy, the calculation gives 0.5 eV per formula unit. For the density of states at the Fermi level, the calculation gives 0.747 states/eV per atom. The offset from the most stable computed form comes out at 0.0344 eV per atom. For the volume, the calculation gives 222.67 Å³ per cell.

It has space group R3m (No. 160, hexagonal axes), with a = 2.9356 Å, b = 2.9356 Å, c = 29.8355 Å, α = 90.00°, β = 90.00° and γ = 120.00°. The distinct sites, in fractional coordinates, are Re at (0.0000, 0.0000, 0.0000), As at (0.0000, 0.0000, 0.2702), As at (0.0000, 0.0000, 0.4789) and Pt at (0.0000, 0.0000, 0.7429).

Entry 7:
## Pa2Si3Ir4Pt (PBE)

Data for crystalline Pa2Si3Ir4Pt at its relaxed geometry.

The raw formation energy comes out at -0.886 eV per atom. For the density of states at the Fermi level, the calculation gives 0.865 states/eV per atom. For the volume, the calculation gives 173.81 Å³ per cell.

It has space group P-4m2 (No. 115), with a = 3.976 Å, b = 3.976 Å, c = 10.996 Å, α = 90.00°, β = 90.00° and γ = 90.00°. The distinct sites, in fractional coordinates, are Pa at (0.000, 0.500, 0.245), Si at (0.000, 0.000, 0.000), Si at (0.000, 0.500, 0.619), Ir at (0.000, 0.000, 0.500), Ir at (0.000, 0.500, 0.830), Ir at (0.500, 0.500, 0.500) and Pt at (0.500, 0.500, 0.000).

Entry 8:
## CdSeCl2 (PBE)

Data for crystalline CdSeCl2 at its relaxed geometry.

The raw formation energy comes out at -0.236 eV per atom. For the density of states at the Fermi level, the calculation gives 0.361 states/eV per atom. The offset from the most stable computed form comes out at 0.3019 eV per atom. For the volume, the calculation gives 113.86 Å³ per cell.

It has space group P4/mmm (No. 123), with a = 3.196 Å, b = 3.196 Å, c = 11.146 Å, α = 90.00°, β = 90.00° and γ = 90.00°. The distinct sites, in fractional coordinates, are Cd at (0.000, 0.000, 0.000), Se at (0.000, 0.000, 0.500) and Cl at (0.500, 0.500, 0.146).

Entry 9:
## Ba2LiAgO (PBE)

Data for crystalline Ba2LiAgO at its relaxed geometry.

The raw formation energy comes out at -1.027 eV per atom. For the density of states at the Fermi level, the calculation gives 0.817 states/eV per atom. For the volume, the calculation gives 131.91 Å³ per cell.

It has space group P4/mmm (No. 123), with a = 5.640 Å, b = 5.640 Å, c = 4.147 Å, α = 90.00°, β = 90.00° and γ = 90.00°. The distinct sites, in fractional coordinates, are Ba at (0.000, 0.500, 0.000), Li at (0.000, 0.000, 0.500), Ag at (0.500, 0.500, 0.500) and O at (0.000, 0.000, 0.000).

Entry 10:
## LiAl2InF8 (PBE)

Data for crystalline LiAl2InF8 at its relaxed geometry.

The raw formation energy comes out at -3.068 eV per atom. For the density of states at the Fermi level, the calculation gives 0.000 states/eV per atom. For the volume, the calculation gives 544.37 Å³ per cell.

It has space group R-3 (No. 148, hexagonal axes), with a = 5.1901 Å, b = 5.1901 Å, c = 23.3356 Å, α = 90.00°, β = 90.00° and γ = 120.00°. The distinct sites, in fractional coordinates, are Li at (0.0000, 0.0000, 0.0000), Al at (0.0000, 0.0000, 0.2629), In at (0.0000, 0.0000, 0.5000), F at (0.0000, 0.0000, 0.1893) and F at (0.0061, 0.3656, 0.3841).

Entry 11:
## YHfZn3 (PBE)

Data for crystalline YHfZn3 at its relaxed geometry.

For the formation energy, the calculation gives 5.9 eV per formula unit. For the density of states at the Fermi level, the calculation gives 1.090 states/eV per atom. The offset from the most stable computed form comes out at 0.6346 eV per atom. For the volume, the calculation gives 128.57 Å³ per cell.

It has space group Pm-3m (No. 221), with a = 5.047 Å, b = 5.047 Å, c = 5.047 Å, α = 90.00°, β = 90.00° and γ = 90.00°. The distinct sites, in fractional coordinates, are Y at (0.000, 0.000, 0.000), Hf at (0.500, 0.500, 0.500) and Zn at (0.000, 0.000, 0.500).

Entry 12:
## Cu3Au2 (PBE)

Data for crystalline Cu3Au2 at its relaxed geometry.

For the formation energy, the calculation gives -0.1 eV per formula unit. For the density of states at the Fermi level, the calculation gives 0.302 states/eV per atom. The offset from the most stable computed form comes out at 0.0131 eV per atom. For the volume, the calculation gives 145.49 Å³ per cell.

It has space group C2/m (No. 12), with a = 9.196 Å, b = 2.803 Å, c = 6.770 Å, α = 90.00°, β = 123.50° and γ = 90.00°. The distinct sites, in fractional coordinates, are Cu at (0.000, 0.000, 0.000), Cu at (0.105, 0.500, 0.387) and Au at (0.191, 0.000, 0.779).